one) NiMoCl2: optimized geometry, PBE.

Properties
Space group: No. 160
Magnetic moment, μB/atom: 0.000

Cell: 8.6885 8.6885 8.6885 Å, 21.26 21.26 21.26°
Closest atoms and distances in Å follow each position.
Sites, in units of the cell vectors:
Cl1 0.2234 0.2234 0.2234  3 Mo 2.53
Cl2 0.0315 0.0315 0.0315  3 Ni 2.36
Ni1 0.7560 0.7560 0.7560  3 Cl 2.36, 3 Mo 2.51
Mo1 0.4891 0.4891 0.4891  3 Ni 2.51, 3 Cl 2.53

***

two) NiMoCl2: optimized geometry, PBE.

Properties
Space group: No. 10
Magnetic moment, μB/atom: 0.059

Cell: 4.0225 2.9254 5.9207 Å, 110.20 90.00 90.00°
Closest atoms and distances in Å follow each position.
Sites, in units of the cell vectors:
Cl1 0.0000 0.1398 0.9965  2 Mo 2.46, 2 Ni 2.52
Cl2 0.0000 0.3602 0.5035  2 Mo 2.46, 2 Ni 2.52
Ni1 0.5000 0.7500 0.7500  4 Cl 2.52, 2 Mo 2.81
Mo1 0.5000 0.2500 0.2500  4 Cl 2.46

***

three) NiMoCl2: optimized geometry, PBE.

Properties
Space group: No. 8
Magnetic moment, μB/atom: 0.000

Cell: 3.5342 3.5342 8.7254 Å, 95.53 95.53 50.45°
Closest atoms and distances in Å follow each position.
Sites, in units of the cell vectors:
Ni1 0.2909 0.2909 0.2663  3 Cl 2.33-2.43, 3 Mo 2.35-2.50
Cl1 0.9739 0.9739 0.1080  3 Ni 2.33-2.43
Cl2 0.6330 0.6330 0.6906  1 Mo 2.22
Mo1 0.6022 0.6022 0.4352  1 Cl 2.22, 1 Ni 2.35

***

four) NiMoCl2: optimized geometry, PBE.

Properties
Space group: No. 139
Magnetic moment, μB/atom: 0.001

Cell: 4.5159 4.5159 4.5159 Å, 126.14 126.14 79.66°
Closest atoms and distances in Å follow each position.
Sites, in units of the cell vectors:
Mo1 0.2500 0.7500 0.5000  8 Cl 2.68, 4 Ni 2.89
Cl1 0.0000 0.0000 0.0000  4 Mo 2.68, 4 Ni 2.68, 4 Cl 2.89
Cl2 0.5000 0.5000 0.0000  4 Ni 2.68, 4 Mo 2.68, 4 Cl 2.89
Ni1 0.7500 0.2500 0.5000  8 Cl 2.68, 4 Mo 2.89

***

Of them, the most stable is one) and the least stable is four).

***

one) Ni3MoCl: optimized geometry, PBE.

Properties
Space group: No. 221
Magnetic moment, μB/atom: 0.000

Cell: 4.5685 4.5685 4.5685 Å, 90.00 90.00 90.00°
Closest atoms and distances in Å follow each position.
Sites, in units of the cell vectors:
Cl1 0.5000 0.5000 0.5000  12 Ni 3.23
Ni1 0.5000 0.0000 0.0000  2 Mo 2.28
Ni2 0.0000 0.5000 0.0000  2 Mo 2.28
Ni3 0.0000 0.0000 0.5000  2 Mo 2.28
Mo1 0.0000 0.0000 0.0000  6 Ni 2.28

***

two) Ni3MoCl: optimized geometry, PBE.

Properties
Space group: No. 221
Magnetic moment, μB/atom: 0.617

Cell: 4.1469 4.1469 4.1469 Å, 90.00 90.00 90.00°
Closest atoms and distances in Å follow each position.
Sites, in units of the cell vectors:
Ni1 0.5000 0.0000 0.0000  2 Cl 2.07
Ni2 0.0000 0.0000 0.5000  2 Cl 2.07
Ni3 0.0000 0.5000 0.0000  2 Cl 2.07
Cl1 0.0000 0.0000 0.0000  6 Ni 2.07
Mo1 0.5000 0.5000 0.5000  12 Ni 2.93

***

Of them, the most stable is two) and the least stable is one).

***

one) NiMoP2Cl: optimized geometry, PBE.

Properties
Space group: No. 123
Magnetic moment, μB/atom: 0.151

Cell: 4.6453 4.6453 4.9096 Å, 90.00 90.00 90.00°
Closest atoms and distances in Å follow each position.
Sites, in units of the cell vectors:
Cl1 0.0000 0.0000 0.5000  2 Mo 2.45
Mo1 0.0000 0.0000 0.0000  4 P 2.32, 2 Cl 2.45
Ni1 0.5000 0.5000 0.5000  4 Cl 3.28, 8 P 3.38
P1 0.0000 0.5000 0.0000  2 Mo 2.32
P2 0.5000 0.0000 0.0000  2 Mo 2.32

***

two) NiMoP2Cl: optimized geometry, PBE.

Properties
Space group: No. 123
Magnetic moment, μB/atom: 0.505

Cell: 4.3752 4.3752 4.5682 Å, 90.00 90.00 90.00°
Closest atoms and distances in Å follow each position.
Sites, in units of the cell vectors:
Ni1 0.0000 0.0000 0.0000  4 P 2.19, 2 Cl 2.28
Cl1 0.0000 0.0000 0.5000  2 Ni 2.28
P1 0.5000 0.0000 0.0000  2 Ni 2.19
P2 0.0000 0.5000 0.0000  2 Ni 2.19
Mo1 0.5000 0.5000 0.5000  4 Cl 3.09, 8 P 3.16

***

Of them, the most stable is one) and the least stable is two).

***

one) Ni2MoSeCl: optimized geometry, PBE.

Properties
Space group: No. 123
Magnetic moment, μB/atom: 0.000

Cell: 4.7117 4.4385 4.7117 Å, 90.00 90.00 90.00°
Closest atoms and distances in Å follow each position.
Sites, in units of the cell vectors:
Mo1 0.0000 0.0000 0.0000  2 Cl 2.22, 4 Ni 2.36
Ni1 0.0000 0.0000 0.5000  2 Mo 2.36
Ni2 0.5000 0.0000 0.0000  2 Mo 2.36
Cl1 0.0000 0.5000 0.0000  2 Mo 2.22
Se1 0.5000 0.5000 0.5000  8 Ni 3.24, 4 Cl 3.33

***

two) Ni2MoSeCl: optimized geometry, PBE.

Properties
Space group: No. 123
Magnetic moment, μB/atom: 0.597

Cell: 4.3430 5.1532 4.3430 Å, 90.00 90.00 90.00°
Closest atoms and distances in Å follow each position.
Sites, in units of the cell vectors:
Cl1 0.5000 0.5000 0.5000  4 Mo 3.07, 8 Ni 3.37
Se1 0.0000 0.0000 0.0000  4 Ni 2.17
Mo1 0.0000 0.5000 0.0000  2 Se 2.58
Ni1 0.0000 0.0000 0.5000  2 Se 2.17
Ni2 0.5000 0.0000 0.0000  2 Se 2.17

***

Of them, the most stable is two) and the least stable is one).